Entry 1:
PaGeIrS (PBE, optimized geometry); V = 18.68 A^3/atom; space-group type = P4/nmm; E_tot = -0.5702 Ry/atom; energy relative to the elements, uncorrected = -0.98 eV per atom; density of states at the Fermi level = 2.49 states/eV/cell; calculated density = 11.7 g/cm³
1.0
4.202 0.000 0.000
0.000 4.202 0.000
0.000 0.000 8.464
Ge Ir S Pa
2 2 2 2
direct
0.000 0.500 0.830
0.500 0.000 0.170
0.000 0.000 0.000
0.500 0.500 0.000
0.000 0.000 0.500
0.500 0.500 0.500
0.500 0.000 0.713
0.000 0.500 0.287

***

Entry 2:
PaSiGeIr (PBE, optimized geometry); V = 18.80 A^3/atom; space-group type = P4/nmm; E_tot = -0.5733 Ry/atom; energy relative to the elements, uncorrected = -0.70 eV per atom; density of states at the Fermi level = 2.03 states/eV/cell; calculated density = 11.6 g/cm³
1.0
-3.132 2.228 -1.274
-1.996 -3.378 -1.001
-3.656 -0.332 8.406
Ge Pa Si Ir
2 2 2 2
direct
0.500 0.000 0.898
0.000 0.500 0.102
0.500 0.000 0.218
0.000 0.500 0.782
0.500 0.000 0.643
0.000 0.500 0.357
0.500 0.500 0.500
0.000 0.000 0.500

***

Entry 3:
Pa2Si3GeIr4 (PBE, optimized geometry); V = 17.10 A^3/atom; space-group type = P-4m2; E_tot = -0.6220 Ry/atom; energy relative to the elements, uncorrected = -0.93 eV per atom; density of states at the Fermi level = 3.57 states/eV/cell; calculated density = 13.5 g/cm³
1.0
-2.949 -2.808 -0.666
2.050 -2.708 2.343
-4.943 3.270 8.107
Ge Ir Pa Si
1 4 2 3
direct
0.500 0.500 0.500
0.500 0.500 0.000
0.000 0.000 0.000
0.000 0.500 0.366
0.500 0.000 0.634
0.000 0.500 0.752
0.500 0.000 0.248
0.500 0.000 0.868
0.000 0.500 0.132
0.000 0.000 0.500

***

Entry 4:
Pa3Si2GeIr9 (PBE, optimized geometry); V = 19.28 A^3/atom; space-group type = P-3m1; E_tot = -0.6404 Ry/atom; energy relative to the elements, uncorrected = -0.47 eV per atom; density of states at the Fermi level = 9.36 states/eV/cell; calculated density = 14.7 g/cm³
1.0
5.569 0.000 0.000
-2.785 4.823 0.000
0.000 0.000 10.768
Ir Pa Si Ge
9 3 2 1
direct
0.000 0.500 0.000
0.166 0.834 0.324
0.834 0.166 0.676
0.668 0.834 0.324
0.166 0.332 0.324
0.332 0.166 0.676
0.834 0.668 0.676
0.500 0.000 0.000
0.500 0.500 0.000
0.000 0.000 0.000
0.333 0.667 0.586
0.667 0.333 0.414
0.667 0.333 0.837
0.333 0.667 0.163
0.000 0.000 0.500

***

Entry 5:
Sm2PaGe3Ir4 (PBE, optimized geometry); V = 19.98 A^3/atom; space-group type = P-4m2; E_tot = -0.5583 Ry/atom; density of states at the Fermi level = 5.92 states/eV/cell; formation energy = -0.773 eV per atom; calculated density = 12.6 g/cm³
1.0
4.256 0.000 0.000
0.000 4.256 0.000
0.000 0.000 11.031
Ge Ir Sm Pa
3 4 2 1
direct
0.000 0.000 0.500
0.000 0.500 0.124
0.500 0.000 0.876
0.000 0.500 0.349
0.000 0.000 0.000
0.500 0.500 0.000
0.500 0.000 0.651
0.000 0.500 0.778
0.500 0.000 0.222
0.500 0.500 0.500

***

Entry 6:
Pa2TaGe3Ir4 (PBE, optimized geometry); V = 18.39 A^3/atom; space-group type = P-4m2; E_tot = -0.6384 Ry/atom; density of states at the Fermi level = 9.75 states/eV/cell; formation energy = -0.672 eV per atom; calculated density = 14.7 g/cm³
1.0
4.138 0.000 0.000
0.000 4.138 0.000
0.000 0.000 10.741
Ir Ge Ta Pa
4 3 1 2
direct
0.500 0.500 0.000
0.000 0.000 0.000
0.500 0.000 0.642
0.000 0.500 0.358
0.000 0.000 0.500
0.500 0.000 0.868
0.000 0.500 0.132
0.500 0.500 0.500
0.500 0.000 0.236
0.000 0.500 0.764